(1)
GaPd3N | GGA-PBE | optimized geometry

Cell lengths 4.162, 4.162, 4.162 Å; angles 90.00, 90.00, 90.00 degrees
Positions (direct):
Ga 0.000 0.000 0.000
Pd 0.000 0.500 0.500
Pd 0.500 0.000 0.500
Pd 0.500 0.500 0.000
N 0.500 0.500 0.500

Symmetry   No. 221
Offset from the most stable computed form   0.000 eV per atom
Formation energy (no corrections)   0.13 eV per atom

***

(2)
NaAgPtPb | GGA-PBE | optimized geometry

Cell lengths 4.842, 4.842, 4.842 Å; angles 60.00, 60.00, 60.00 degrees
Positions (direct):
Na 0.000 0.000 0.000
Ag 0.250 0.250 0.250
Pt 0.500 0.500 0.500
Pb 0.750 0.750 0.750

Symmetry   No. 216
Energy of formation from the pure elements   -0.12 eV per atom

***

(3)
TlRe2Se | GGA-PBE | optimized geometry

Cell lengths 3.724, 3.724, 8.470 Å; angles 96.84, 96.84, 46.87 degrees
Positions (direct):
Tl 0.000 0.000 0.000
Re 0.265 0.265 0.720
Re 0.491 0.491 0.544
Se 0.832 0.832 0.322

Symmetry   No. 8
Offset from the most stable computed form   0.079 eV per atom
Formation energy (no corrections)   0.46 eV per atom

***

Please write out number 3 again, unchanged.
TlRe2Se | GGA-PBE | optimized geometry

Cell lengths 3.724, 3.724, 8.470 Å; angles 96.84, 96.84, 46.87 degrees
Positions (direct):
Tl 0.000 0.000 0.000
Re 0.265 0.265 0.720
Re 0.491 0.491 0.544
Se 0.832 0.832 0.322

Symmetry   No. 8
Offset from the most stable computed form   0.079 eV per atom
Formation energy (no corrections)   0.46 eV per atom